(1)
Density functional theory data (GGA-PBE) for EuCdHg after structural relaxation.

The magnetic moment comes out at 7.21 Bohr magnetons per cell.

It has space group P-6m2 (No. 187), with a = 5.0851 Å, b = 5.0851 Å, c = 3.6546 Å, α = 90.00°, β = 90.00° and γ = 120.00°. The asymmetric unit holds Eu at (0.0000, 0.0000, 0.0000), Cd at (0.3333, 0.6667, 0.5000) and Hg at (0.6667, 0.3333, 0.5000).

***

(2)
Density functional theory data (GGA-PBE) for Eu2CdHg after structural relaxation.

The magnetic moment comes out at 14.39 Bohr magnetons per cell.

It has space group P4/mmm (No. 123), with a = 3.911 Å, b = 3.911 Å, c = 7.834 Å, α = 90.00°, β = 90.00° and γ = 90.00°. The asymmetric unit holds Eu at (0.000, 0.000, 0.245), Cd at (0.500, 0.500, 0.500) and Hg at (0.500, 0.500, 0.000).

***

(3)
Density functional theory data (GGA-PBE) for EuCdHg2 after structural relaxation.

The magnetic moment comes out at 7.19 Bohr magnetons per cell.

It has space group P4/mmm (No. 123), with a = 3.818 Å, b = 3.818 Å, c = 7.272 Å, α = 90.00°, β = 90.00° and γ = 90.00°. The asymmetric unit holds Eu at (0.000, 0.000, 0.000), Cd at (0.000, 0.000, 0.500) and Hg at (0.500, 0.500, 0.269).

***

(4)
Density functional theory data (GGA-PBE) for EuCdHg after structural relaxation.

The magnetic moment comes out at 14.11 Bohr magnetons per cell.

It has space group I4mm (No. 107), with a = 4.012 Å, b = 4.012 Å, c = 10.300 Å, α = 90.00°, β = 90.00° and γ = 90.00°. The asymmetric unit holds Eu at (0.000, 0.000, 0.000), Cd at (0.000, 0.000, 0.322) and Hg at (0.000, 0.000, 0.673).

***

Result set for energy of formation from the pure elements: -0.414, -0.454, -0.324, -0.371 eV/atom, one per record in the order listed.
Result set for total DFT energy (no corrections): -12.73, -23.58, -13.09, -25.21 eV for the cell shown, one per record in the order listed.